First-principles (PBE) data for an optimized crystal structure of PrTm8Sc2, as listed in Alexandria.

POSCAR file:
```
PrTm8Sc2
1.0
8.848 -2.449 0.000
8.848 2.449 0.000
-2.060 0.000 7.491
Pr Tm Sc
1 8 2
Direct
0.000 0.000 0.000 Pr
0.094 0.094 0.460 Tm
0.183 0.183 0.911 Tm
0.360 0.360 0.808 Tm
0.452 0.452 0.274 Tm
0.548 0.548 0.726 Tm
0.640 0.640 0.192 Tm
0.817 0.817 0.089 Tm
0.906 0.906 0.540 Tm
0.272 0.272 0.365 Sc
0.728 0.728 0.635 Sc
```

## Properties
SG: C2/m (12)
Magnetization: 0.0 μB/f.u.
Formation energy: 0.5 eV per formula unit
Energy above the most stable polymorph in this dataset: 0 meV/atom


First-principles (PBE) data for an optimized crystal structure of Pr3Tm4Sc2, as listed in Alexandria.

POSCAR file:
```
Pr3Tm4Sc2
1.0
7.335 -6.321 0.000
7.335 6.321 0.000
-0.373 0.000 6.130
Pr Tm Sc
6 8 4
Direct
0.053 0.947 0.750 Pr
0.184 0.624 0.396 Pr
0.376 0.816 0.104 Pr
0.624 0.184 0.896 Pr
0.816 0.376 0.604 Pr
0.947 0.053 0.250 Pr
0.154 0.282 0.611 Tm
0.282 0.154 0.111 Tm
0.337 0.473 0.925 Tm
0.473 0.337 0.425 Tm
0.527 0.663 0.575 Tm
0.663 0.527 0.075 Tm
0.718 0.846 0.889 Tm
0.846 0.718 0.389 Tm
0.002 0.618 0.867 Sc
0.382 0.998 0.633 Sc
0.618 0.002 0.367 Sc
0.998 0.382 0.133 Sc
```

## Properties
SG: C2/c (15)
Magnetization: 0.0 μB/f.u.
Formation energy: 1.3 eV per formula unit
Energy above the most stable polymorph in this dataset: 107 meV/atom


First-principles (PBE) data for an optimized crystal structure of PrTm4Sc4, as listed in Alexandria.

POSCAR file:
```
PrTm4Sc4
1.0
-5.127 5.127 2.401
5.127 -5.127 2.401
5.127 5.127 -2.401
Pr Tm Sc
1 4 4
Direct
0.000 0.000 0.000 Pr
0.000 0.331 0.331 Tm
0.000 0.669 0.669 Tm
0.331 0.000 0.331 Tm
0.669 0.000 0.669 Tm
0.331 0.331 0.663 Sc
0.331 0.669 0.000 Sc
0.669 0.331 0.000 Sc
0.669 0.669 0.337 Sc
```

## Properties
SG: I4/mmm (139)
Magnetization: 0.0 μB/f.u.
Formation energy: 0.5 eV per formula unit
Energy above the most stable polymorph in this dataset: 0 meV/atom


First-principles (PBE) data for an optimized crystal structure of Pr2Tm3Sc3, as listed in Alexandria.

POSCAR file:
```
Pr2Tm3Sc3
1.0
1.762 -8.355 0.000
1.762 8.355 0.000
0.000 0.000 16.485
Pr Tm Sc
4 6 6
Direct
0.247 0.753 0.607 Pr
0.247 0.753 0.893 Pr
0.753 0.247 0.107 Pr
0.753 0.247 0.393 Pr
0.094 0.906 0.038 Tm
0.094 0.906 0.462 Tm
0.114 0.886 0.750 Tm
0.886 0.114 0.250 Tm
0.906 0.094 0.538 Tm
0.906 0.094 0.962 Tm
0.084 0.916 0.250 Sc
0.461 0.539 0.120 Sc
0.461 0.539 0.380 Sc
0.539 0.461 0.620 Sc
0.539 0.461 0.880 Sc
0.916 0.084 0.750 Sc
```

## Properties
SG: Cmcm (63)
Magnetization: 0.0 μB/f.u.
Formation energy: 1.4 eV per formula unit


Number 1: volume 325 Å³ per cell. Number 2: volume 568 Å³ per cell. Number 3: volume 252 Å³ per cell. Number 4: volume 485 Å³ per cell.